Record 1
Material: Yb3DySb3
Method: DFT, GGA-PBE
State: optimized geometry

Lattice parameters (Å, degrees): 8.060 8.060 8.102 109.47 109.47 109.22
Fractional positions:
Yb 0.000 0.000 0.000
Yb 0.000 0.000 0.500
Yb 0.149 0.651 0.792
Yb 0.505 0.860 0.651
Yb 0.651 0.149 0.292
Yb 0.860 0.505 0.151
Dy 0.357 0.504 0.148
Dy 0.504 0.357 0.648
Sb 0.134 0.378 0.398
Sb 0.258 0.880 0.276
Sb 0.378 0.134 0.898
Sb 0.624 0.746 0.020
Sb 0.746 0.624 0.520
Sb 0.880 0.258 0.776

Summary:
Crystal system: monoclinic
Space group: Cc, No. 9
E_form (uncorrected): -1.075 eV/atom

***

Record 2
Material: TeClF
Method: DFT, GGA-PBE
State: optimized geometry

Lattice parameters (Å, degrees): 4.495 5.541 6.929 66.56 85.23 89.92
Fractional positions:
Te 0.019 0.111 0.278
Te 0.981 0.889 0.722
Cl 0.001 0.630 0.241
Cl 0.999 0.370 0.759
F 0.455 0.888 0.724
F 0.545 0.112 0.276

Summary:
Offset from the most stable computed form: 0.000 eV/atom
Crystal system: triclinic
Space group: P-1, No. 2
E_form (uncorrected): -0.884 eV/atom

***

Record 3
Material: NiOsPb
Method: DFT, GGA-PBE
State: optimized geometry

Lattice parameters (Å, degrees): 4.246 4.246 4.246 60.00 60.00 60.00
Fractional positions:
Ni 0.000 0.000 0.000
Os 0.250 0.250 0.250
Pb 0.750 0.750 0.750

Summary:
Offset from the most stable computed form: 0.131 eV/atom
Crystal system: cubic
Space group: F-43m, No. 216
Energy of formation from the pure elements: 875 meV/atom

***

Record 4
Material: NdHoTm2Th
Method: DFT, GGA-PBE
State: optimized geometry

Lattice parameters (Å, degrees): 3.526 5.596 8.650 90.00 90.00 90.00
Fractional positions:
Nd 0.000 0.000 0.000
Ho 0.500 0.000 0.500
Tm 0.000 0.500 0.322
Tm 0.000 0.500 0.678
Th 0.500 0.500 0.000

Summary:
Crystal system: orthorhombic
Space group: Pmmm, No. 47
Energy of formation from the pure elements: 325 meV/atom

***

Record 5
Material: Sr3TlPt
Method: DFT, GGA-PBE
State: optimized geometry

Lattice parameters (Å, degrees): 5.879 5.879 5.879 90.00 90.00 90.00
Fractional positions:
Sr 0.000 0.000 0.500
Sr 0.000 0.500 0.000
Sr 0.500 0.000 0.000
Tl 0.500 0.500 0.500
Pt 0.000 0.000 0.000

Summary:
Offset from the most stable computed form: 0.063 eV/atom
Crystal system: cubic
Space group: Pm-3m, No. 221
Energy of formation from the pure elements: -465 meV/atom

***

Record 6
Material: AcMgSnPb
Method: DFT, GGA-PBE
State: optimized geometry

Lattice parameters (Å, degrees): 4.778 4.993 5.042 90.00 90.00 90.00
Fractional positions:
Ac 0.000 0.000 0.000
Mg 0.000 0.500 0.500
Sn 0.500 0.500 0.000
Pb 0.500 0.000 0.500

Summary:
Offset from the most stable computed form: 0.000 eV/atom
Crystal system: orthorhombic
Space group: Pmmm, No. 47
Energy of formation from the pure elements: -407 meV/atom

***

Record 7
Material: Cr2RhW
Method: DFT, GGA-PBE
State: optimized geometry

Lattice parameters (Å, degrees): 3.186 4.140 4.239 90.00 90.00 90.00
Fractional positions:
Cr 0.000 0.000 0.000
Cr 0.500 0.000 0.500
Rh 0.000 0.500 0.500
W 0.500 0.500 0.000

Summary:
Offset from the most stable computed form: 0.101 eV/atom
Crystal system: orthorhombic
Space group: Pmmm, No. 47
Energy of formation from the pure elements: 143 meV/atom

***

Record 8
Material: CaTa2CoRu
Method: DFT, GGA-PBE
State: optimized geometry

Lattice parameters (Å, degrees): 4.569 4.569 4.800 90.00 90.00 90.00
Fractional positions:
Ca 0.000 0.000 0.000
Ta 0.000 0.500 0.500
Ta 0.500 0.000 0.500
Co 0.500 0.500 0.500
Ru 0.500 0.500 0.000

Summary:
Crystal system: tetragonal
Space group: P4/mmm, No. 123
Energy of formation from the pure elements: 784 meV/atom